# 1
A plane-wave DFT calculation with PBE-GGA was carried out for a geometry-optimized Y2TaBiN structure.

**Size of the total moment**: 0.00 μB per cell
**SG**: P4/mmm
**Volume**: 156.53 Å³ per cell
**Raw total energy**: -5.942 eV per atom
**Formation energy without anion corrections**: 1.4559 eV/atom

Cell: 5.4620 5.4620 5.2468 Å, 90.00 90.00 90.00°
Closest atoms and distances in Å follow each position.
Element x y z (fractional)
Y 0.0000 0.5000 0.0000  2 Ta 2.73
Y 0.5000 0.0000 0.0000  2 Ta 2.73
Ta 0.0000 0.0000 0.0000  2 Bi 2.62, 4 Y 2.73
Bi 0.0000 0.0000 0.5000  2 Ta 2.62
N 0.5000 0.5000 0.5000  8 Y 3.79, 4 Bi 3.86

# 2
A plane-wave DFT calculation with PBE-GGA was carried out for a geometry-optimized ZrTa2BiN structure.

**Size of the total moment**: 0.00 μB per cell
**SG**: P4/mmm
**Volume**: 134.74 Å³ per cell
**Raw total energy**: -6.178 eV per atom
**Formation energy without anion corrections**: 2.7144 eV/atom

Cell: 4.9628 4.9628 5.4707 Å, 90.00 90.00 90.00°
Closest atoms and distances in Å follow each position.
Element x y z (fractional)
Zr 0.0000 0.0000 0.0000  4 Ta 2.48, 2 Bi 2.74
Ta 0.0000 0.5000 0.0000  2 Zr 2.48
Ta 0.5000 0.0000 0.0000  2 Zr 2.48
Bi 0.0000 0.0000 0.5000  2 Zr 2.74
N 0.5000 0.5000 0.5000  4 Bi 3.51, 8 Ta 3.69

# 3
A plane-wave DFT calculation with PBE-GGA was carried out for a geometry-optimized Tb2BiN structure.

**Size of the total moment**: 0.00 μB per cell
**SG**: P4/nmm
**Volume**: 192.19 Å³ per cell
**Raw total energy**: -6.625 eV per atom
**Formation energy without anion corrections**: -1.2583 eV/atom
**E above lowest polymorph**: 0 kJ/mol of formula units

Cell: 4.5891 4.5891 9.1259 Å, 90.00 90.00 90.00°
Closest atoms and distances in Å follow each position.
Element x y z (fractional)
Tb 0.2500 0.2500 0.1810  1 N 2.21
Tb 0.2500 0.7500 0.5000  4 N 2.40
Tb 0.7500 0.2500 0.5000  4 N 2.40
Tb 0.7500 0.7500 0.8190  1 N 2.21
Bi 0.2500 0.2500 0.8123  5 Tb 3.25-3.37, 1 N 3.55
Bi 0.7500 0.7500 0.1877  5 Tb 3.25-3.37, 1 N 3.55
N 0.2500 0.2500 0.4235  5 Tb 2.21-2.40
N 0.7500 0.7500 0.5765  5 Tb 2.21-2.40

# 4
A plane-wave DFT calculation with PBE-GGA was carried out for a geometry-optimized Tb3BiN structure.

**Size of the total moment**: 0.00 μB per cell
**SG**: C2/m
**Volume**: 255.79 Å³ per cell
**Raw total energy**: -6.075 eV per atom
**Formation energy without anion corrections**: -0.8555 eV/atom

Cell: 6.9457 6.9457 8.7060 Å, 127.11 127.11 56.83°
Closest atoms and distances in Å follow each position.
Element x y z (fractional)
Tb 0.0190 0.5225 0.8337  2 N 2.36-2.37
Tb 0.0493 0.0493 0.3247  1 N 2.23
Tb 0.4775 0.9810 0.1663  2 N 2.36-2.37
Tb 0.5225 0.0190 0.8337  2 N 2.36-2.37
Tb 0.9507 0.9507 0.6753  1 N 2.23
Tb 0.9810 0.4775 0.1663  2 N 2.36-2.37
Bi 0.4212 0.4212 0.6620  9 Tb 3.31-3.68, 1 N 3.37
Bi 0.5788 0.5788 0.3380  9 Tb 3.31-3.68, 1 N 3.37
N 0.2003 0.2003 0.9455  5 Tb 2.23-2.37
N 0.7997 0.7997 0.0545  5 Tb 2.23-2.37

# 5
A plane-wave DFT calculation with PBE-GGA was carried out for a geometry-optimized Tb2BiN structure.

**Size of the total moment**: 0.00 μB per cell
**SG**: R-3m
**Volume**: 97.11 Å³ per cell
**Raw total energy**: -6.196 eV per atom
**Formation energy without anion corrections**: -0.8288 eV/atom
**E above lowest polymorph**: 166 kJ/mol of formula units

Cell: 9.2463 9.2463 9.2463 Å, 21.98 21.98 21.98°
Closest atoms and distances in Å follow each position.
Element x y z (fractional)
Tb 0.1177 0.1177 0.1177  3 N 2.43
Tb 0.8823 0.8823 0.8823  3 N 2.43
Bi 0.0000 0.0000 0.0000  2 Tb 3.18, 6 Bi 3.53
N 0.5000 0.5000 0.5000  6 Tb 2.43

# 6
A plane-wave DFT calculation with PBE-GGA was carried out for a geometry-optimized Tb2BiN structure.

**Size of the total moment**: 0.00 μB per cell
**SG**: P4/mmm
**Volume**: 81.87 Å³ per cell
**Raw total energy**: -5.867 eV per atom
**Formation energy without anion corrections**: -0.5003 eV/atom
**E above lowest polymorph**: 293 kJ/mol of formula units

Cell: 3.2265 3.2265 7.8648 Å, 90.00 90.00 90.00°
Closest atoms and distances in Å follow each position.
Element x y z (fractional)
Tb 0.0000 0.0000 0.1829  4 N 2.70, 1 Tb 2.88
Tb 0.0000 0.0000 0.8171  4 N 2.70, 1 Tb 2.88
Bi 0.5000 0.5000 0.5000  4 Bi 3.23, 8 Tb 3.38
N 0.5000 0.5000 0.0000  8 Tb 2.70

# 7
A plane-wave DFT calculation with PBE-GGA was carried out for a geometry-optimized Tb5Bi4N structure.

**Size of the total moment**: 0.00 μB per cell
**SG**: I4
**Volume**: 287.81 Å³ per cell
**Raw total energy**: -5.554 eV per atom
**Formation energy without anion corrections**: -0.8536 eV/atom

Cell: 7.4527 7.4527 7.4527 Å, 100.34 100.34 129.86°
Closest atoms and distances in Å follow each position.
Element x y z (fractional)
Tb 0.0000 0.0000 0.0000  1 N 2.25
Tb 0.1660 0.3201 0.6523  1 N 2.59
Tb 0.3201 0.6678 0.1541  1 N 2.59
Tb 0.5137 0.1660 0.8459  1 N 2.59
Tb 0.6678 0.5137 0.3477  1 N 2.59
Bi 0.2240 0.9957 0.3925  6 Tb 3.11-3.28
Bi 0.6031 0.8314 0.6075  6 Tb 3.11-3.28
Bi 0.8314 0.2240 0.2283  6 Tb 3.11-3.28
Bi 0.9957 0.6031 0.7717  6 Tb 3.11-3.28
N 0.3570 0.3570 0.0000  1 Tb 2.25

# 8
A plane-wave DFT calculation with PBE-GGA was carried out for a geometry-optimized TbTh2Bi2N2 structure.

**Size of the total moment**: 0.00 μB per cell
**SG**: I4/mmm
**Volume**: 164.75 Å³ per cell
**Raw total energy**: -7.118 eV per atom
**Formation energy without anion corrections**: -0.8487 eV/atom

Cell: 8.7258 8.7258 8.7258 Å, 150.09 150.09 42.81°
Closest atoms and distances in Å follow each position.
Element x y z (fractional)
Tb 0.0000 0.0000 0.0000  4 N 2.25
Th 0.4003 0.4003 0.0000  4 N 2.77
Th 0.5997 0.5997 0.0000  4 N 2.77
Bi 0.1971 0.1971 0.0000  1 Tb 3.20, 5 Th 3.30-3.56
Bi 0.8029 0.8029 0.0000  1 Tb 3.20, 5 Th 3.30-3.56
N 0.0000 0.5000 0.5000  2 Tb 2.25
N 0.5000 0.0000 0.5000  2 Tb 2.25

raw total energy of number 6 (Tb2BiN)? -5.867 eV per atom